# NiOsPt2

Crystalline NiOsPt2 at its relaxed geometry (PBE, Alexandria via LeMat-Bulk).

Unit cell a=3.830 b=3.830 c=3.881 alpha=90.00 beta=90.00 gamma=90.00
Fractional coordinates of all 4 atoms:
Ni1 0.500 0.000 0.500
Os1 0.000 0.500 0.500
Pt1 0.000 0.000 0.000
Pt2 0.500 0.500 0.000

Output
Crystal system: tetragonal

# NiOs2Pt

Crystalline NiOs2Pt at its relaxed geometry (PBE, Alexandria via LeMat-Bulk).

Unit cell a=8.883 b=8.883 c=8.883 alpha=17.64 beta=17.64 gamma=17.64
Fractional coordinates of all 4 atoms:
Ni1 0.748 0.748 0.748
Os1 0.001 0.001 0.001
Os2 0.254 0.254 0.254
Pt1 0.497 0.497 0.497

Output
Crystal system: trigonal

# NiOsPt2

Crystalline NiOsPt2 at its relaxed geometry (PBE, Alexandria via LeMat-Bulk).

Unit cell a=2.734 b=2.734 c=7.583 alpha=90.00 beta=90.00 gamma=90.00
Fractional coordinates of all 4 atoms:
Ni1 0.000 0.000 0.511
Os1 0.500 0.500 0.732
Pt1 0.000 0.000 0.988
Pt2 0.500 0.500 0.268

Output
Crystal system: tetragonal

Number 1: Fermi-level density of states 5.1 states/eV per cell, E_tot -28.45 eV/cell, formation energy 0.160 eV/atom. Number 2: Fermi-level density of states 4.8 states/eV per cell, E_tot -34.01 eV/cell, formation energy 0.069 eV/atom. Number 3: Fermi-level density of states 5.0 states/eV per cell, E_tot -28.93 eV/cell, formation energy 0.040 eV/atom.